Material: LuIn2Ge
Method: DFT, PBE-GGA
State: relaxed

Output
Crystal system: tetragonal
Formation enthalpy at 0 K in eV/f.u.: -1.30
Total DFT energy (no corrections) in eV for the cell shown: -15.9
E above lowest polymorph in kcal/mol of atoms: 0.00
M_tot in Bohr magnetons per cell: 0.00

Unit cell a=4.2999 b=4.2999 c=4.9170 alpha=90.00 beta=90.00 gamma=90.00
Last column: nearest neighbours and their distance in Å.
Space group P4/mmm (No. 123)
Symmetry-distinct sites (fractional):
Lu (0.0000, 0.0000, 0.0000) [1 per cell]  4 Ge 3.04, 8 In 3.27
In (0.0000, 0.5000, 0.5000) [2 per cell]  4 In 3.04, 4 Ge 3.27, 4 Lu 3.27
Ge (0.5000, 0.5000, 0.0000) [1 per cell]  4 Lu 3.04, 8 In 3.27

=====

Material: Lu2InGe
Method: DFT, PBE-GGA
State: relaxed

Output
Crystal system: trigonal
Formation enthalpy at 0 K in eV/f.u.: -1.78
Total DFT energy (no corrections) in eV for the cell shown: -54.5
M_tot in Bohr magnetons per cell: 0.00

Unit cell a=3.7384 b=3.7384 c=25.3816 alpha=90.00 beta=90.00 gamma=120.00
Last column: nearest neighbours and their distance in Å.
Space group R-3m (No. 166, hexagonal axes)
Symmetry-distinct sites (fractional):
Lu (0.0000, 0.0000, 0.2395) [6 per cell]  3 Ge 2.84
In (0.0000, 0.0000, 0.0000) [3 per cell]  6 Lu 3.22
Ge (0.0000, 0.0000, 0.5000) [3 per cell]  6 Lu 2.84

=====

Which value of M_tot does entry 1 give?
0.00 Bohr magnetons per cell

=====

Which value of total DFT energy (no corrections) does entry 2 give?
-54.5 eV for the cell shown

=====

total DFT energy (no corrections) of number 1 (LuIn2Ge)?
-15.9 eV for the cell shown

=====

Look up the formation enthalpy at 0 K of the second one.
-1.78 eV/f.u.